A geometry-optimized RbTl4Zn3F12 structure. Source: Alexandria via LeMat-Bulk, functional GGA-PBE.

Its final energy is -3.861 eV/atom.

The structure belongs to space group Im-3m (No. 229); the cell edges are 8.804, 8.804 and 8.804 Å and the angles 90.00°, 90.00° and 90.00°. Symmetry generates all atoms from Rb at (0.000, 0.000, 0.000), Tl at (0.250, 0.250, 0.250), Zn at (0.000, 0.000, 0.500), F at (0.000, 0.000, 0.287) and F at (0.000, 0.250, 0.500).

A geometry-optimized Rb2Tl2ZnF6 structure. Source: Alexandria via LeMat-Bulk, functional GGA-PBE.

Its final energy is -3.980 eV/atom.

The structure belongs to space group C2/m (No. 12); the cell edges are 6.875, 11.430 and 6.429 Å and the angles 90.00°, 104.39° and 90.00°. Symmetry generates all atoms from Rb at (0.000, 0.157, 0.000), Tl at (0.000, 0.339, 0.500), Zn at (0.000, 0.500, 0.000), F at (0.174, 0.370, 0.177) and F at (0.182, 0.500, 0.759).

A geometry-optimized RbTlZn2F8 structure. Source: Alexandria via LeMat-Bulk, functional GGA-PBE.

Its final energy is -3.945 eV/atom.

The structure belongs to space group P-1 (No. 2); the cell edges are 5.211, 5.404 and 7.718 Å and the angles 77.66°, 78.78° and 77.91°. Symmetry generates all atoms from Rb at (0.000, 0.000, 0.000), Tl at (0.000, 0.000, 0.500), Zn at (0.460, 0.457, 0.213), F at (0.188, 0.726, 0.722), F at (0.237, 0.769, 0.295), F at (0.295, 0.242, 0.438) and F at (0.373, 0.317, 0.015).

A geometry-optimized Rb3Tl3ZnF8 structure. Source: Alexandria via LeMat-Bulk, functional GGA-PBE.

Its final energy is -3.978 eV/atom.

The structure belongs to space group R-3m (No. 166, hexagonal axes); the cell edges are 7.8548, 7.8548 and 19.1737 Å and the angles 90.00°, 90.00° and 120.00°. Symmetry generates all atoms from Rb at (0.0000, 0.5000, 0.0000), Tl at (0.0000, 0.5000, 0.5000), Zn at (0.0000, 0.0000, 0.0000), F at (0.0000, 0.0000, 0.2501) and F at (0.0786, 0.5393, 0.7310).

Question: Which value of final energy does entry 2 give?
Answer: -3.980 eV/atom

Question: Which value of final energy does entry 2 give?
Answer: -3.980 eV/atom

Question: Number 3 is which compound?
Answer: RbTlZn2F8